Entry from Alexandria: a relaxed IrRhW2 crystal (PBE).

abc: 3.370 3.370 5.482
angles: 90.00 90.00 90.00
Sites, in units of the cell vectors:
Ir  0.000  0.000  0.000
Rh  0.000  0.000  0.500
W  0.500  0.500  0.245
W  0.500  0.500  0.755

Calculated values
Formation enthalpy at 0 K (eV/atom): 0.1380
Energy (eV/atom): -10.3917
Energy relative to the lowest polymorph listed for this composition (meV/atom): 372
Total moment (μB/cell): 0.000